Entry 1:
DFT (PBE) results for crystalline Y2Pd2O5 at its relaxed geometry.

VASP energy = -6.879 eV/atom
relative energy among the computed polymorphs = 111.3 kJ/mol of formula units
M_tot = 0.70 μB per formula unit

Lattice parameters (Å, degrees): 8.977 3.810 3.810 90.00 90.00 90.00
Site moments in Bohr magnetons follow the coordinates.
Fractional coordinates of all 9 atoms:
O (0.137, 0.500, 0.000)  0.05
O (0.863, 0.500, 0.000)  0.05
O (0.137, 0.000, 0.500)  0.06
O (0.863, 0.000, 0.500)  0.06
O (0.500, 0.500, 0.500)  0.02
Pd (0.000, 0.000, 0.000)  0.39
Pd (0.500, 0.000, 0.000)  0.07
Y (0.256, 0.500, 0.500)  0.01
Y (0.744, 0.500, 0.500)  0.01

---

Entry 2:
DFT (PBE) results for crystalline Y2Pd2O5 at its relaxed geometry.

VASP energy = -7.007 eV/atom
relative energy among the computed polymorphs = 0.0 kJ/mol of formula units
M_tot = 0.00 μB per formula unit

Lattice parameters (Å, degrees): 6.897 4.005 4.005 90.00 90.00 90.00
Fractional coordinates of all 9 atoms:
O (0.228, 0.500, 0.000)
O (0.772, 0.500, 0.000)
O (0.228, 0.000, 0.500)
O (0.772, 0.000, 0.500)
O (0.500, 0.500, 0.500)
Pd (0.191, 0.500, 0.500)
Pd (0.809, 0.500, 0.500)
Y (0.000, 0.000, 0.000)
Y (0.500, 0.000, 0.000)

---

Entry 3:
DFT (PBE) results for crystalline Zn2Pd2O5 at its relaxed geometry.

VASP energy = -4.352 eV/atom
relative energy among the computed polymorphs = 172.2 kJ/mol of formula units

Lattice parameters (Å, degrees): 6.627 3.934 3.934 90.00 90.00 90.00
Fractional coordinates of all 9 atoms:
O (0.208, 0.500, 0.000)
O (0.792, 0.500, 0.000)
O (0.208, 0.000, 0.500)
O (0.792, 0.000, 0.500)
O (0.500, 0.500, 0.500)
Pd (0.195, 0.500, 0.500)
Pd (0.805, 0.500, 0.500)
Zn (0.000, 0.000, 0.000)
Zn (0.500, 0.000, 0.000)